Record 1
A relaxed structure of YHPt2Rh. Source: Alexandria, functional GGA-PBE.

The value obtained for the polymorph energy (0 for the lowest one) is 0 meV/atom.

The structure belongs to space group P4/mmm (No. 123); the cell edges are 4.1181, 4.1181 and 4.2073 Å and the angles 90.00°, 90.00° and 90.00°. The asymmetric unit holds Y at (0.0000, 0.0000, 0.0000), H at (0.5000, 0.5000, 0.5000), Pt at (0.0000, 0.5000, 0.5000) and Rh at (0.5000, 0.5000, 0.0000).



Record 2
A relaxed structure of YHPtRh2. Source: Alexandria, functional GGA-PBE.

The value obtained for the polymorph energy (0 for the lowest one) is 0 meV/atom.

The structure belongs to space group P4/mmm (No. 123); the cell edges are 4.1405, 4.1405 and 4.0659 Å and the angles 90.00°, 90.00° and 90.00°. The asymmetric unit holds Y at (0.0000, 0.0000, 0.0000), H at (0.5000, 0.5000, 0.5000), Pt at (0.5000, 0.5000, 0.0000) and Rh at (0.0000, 0.5000, 0.5000).



Record 3
A relaxed structure of ZnHPtRh2. Source: Alexandria, functional GGA-PBE.

The value obtained for the polymorph energy (0 for the lowest one) is 0 meV/atom.

The structure belongs to space group P4/mmm (No. 123); the cell edges are 3.9454, 3.9454 and 3.9052 Å and the angles 90.00°, 90.00° and 90.00°. The asymmetric unit holds Zn at (0.0000, 0.0000, 0.0000), H at (0.5000, 0.5000, 0.5000), Pt at (0.5000, 0.5000, 0.0000) and Rh at (0.0000, 0.5000, 0.5000).



Record 4
A relaxed structure of ZnH2PtRh. Source: Alexandria, functional GGA-PBE.

The structure belongs to space group I4mm (No. 107); the cell edges are 3.0458, 3.0458 and 10.7745 Å and the angles 90.00°, 90.00° and 90.00°. The asymmetric unit holds Zn at (0.0000, 0.0000, 0.0000), H at (0.0000, 0.5000, 0.2353), Pt at (0.0000, 0.0000, 0.3559) and Rh at (0.0000, 0.0000, 0.6423).



Record 5
A relaxed structure of ZnHPtRh2. Source: Alexandria, functional GGA-PBE.

The value obtained for the polymorph energy (0 for the lowest one) is 37 meV/atom.

The structure belongs to space group P4/mmm (No. 123); the cell edges are 3.8645, 3.8645 and 4.0368 Å and the angles 90.00°, 90.00° and 90.00°. The asymmetric unit holds Zn at (0.0000, 0.0000, 0.0000), H at (0.0000, 0.0000, 0.5000), Pt at (0.5000, 0.5000, 0.0000) and Rh at (0.0000, 0.5000, 0.5000).



Record 6
A relaxed structure of ZrHPt2Rh. Source: Alexandria, functional GGA-PBE.

The value obtained for the polymorph energy (0 for the lowest one) is 0 meV/atom.

The structure belongs to space group P4/mmm (No. 123); the cell edges are 4.0353, 4.0353 and 4.1591 Å and the angles 90.00°, 90.00° and 90.00°. The asymmetric unit holds Zr at (0.0000, 0.0000, 0.0000), H at (0.5000, 0.5000, 0.5000), Pt at (0.0000, 0.5000, 0.5000) and Rh at (0.5000, 0.5000, 0.0000).



Record 7
A relaxed structure of ZrHPt2Rh. Source: Alexandria, functional GGA-PBE.

The value obtained for the polymorph energy (0 for the lowest one) is 80 meV/atom.

The structure belongs to space group P4/mmm (No. 123); the cell edges are 3.9542, 3.9542 and 4.3570 Å and the angles 90.00°, 90.00° and 90.00°. The asymmetric unit holds Zr at (0.0000, 0.0000, 0.0000), H at (0.0000, 0.0000, 0.5000), Pt at (0.0000, 0.5000, 0.5000) and Rh at (0.5000, 0.5000, 0.0000).



Record 8
A relaxed structure of H12Ru5Pt3. Source: Alexandria, functional GGA-PBE.

The structure belongs to space group Ia-3d (No. 230); the cell edges are 10.8642, 10.8642 and 10.8642 Å and the angles 90.00°, 90.00° and 90.00°. The asymmetric unit holds H at (0.0296, 0.0790, 0.6464), Ru at (0.0000, 0.0000, 0.0000), Ru at (0.0000, 0.2500, 0.3750) and Pt at (0.0000, 0.2500, 0.1250).



Record 9
A relaxed structure of HRu2Pt2. Source: Alexandria, functional GGA-PBE.

The value obtained for the polymorph energy (0 for the lowest one) is 694 meV/atom.

The structure belongs to space group I4/mmm (No. 139); the cell edges are 3.7142, 3.7142 and 11.8138 Å and the angles 90.00°, 90.00° and 90.00°. The asymmetric unit holds H at (0.0000, 0.0000, 0.0000), Ru at (0.0000, 0.0000, 0.4070) and Pt at (0.0000, 0.5000, 0.2500).



Record 10
A relaxed structure of HRu2Pt2. Source: Alexandria, functional GGA-PBE.

The value obtained for the polymorph energy (0 for the lowest one) is 0 meV/atom.

The structure belongs to space group P4/mbm (No. 127); the cell edges are 5.2467, 5.2467 and 4.7258 Å and the angles 90.00°, 90.00° and 90.00°. The asymmetric unit holds H at (0.0000, 0.0000, 0.0000), Ru at (0.1697, 0.3303, 0.0000) and Pt at (0.1781, 0.6781, 0.5000).



Record 11
A relaxed structure of Sc2HRuPt. Source: Alexandria, functional GGA-PBE.

The structure belongs to space group P4/mmm (No. 123); the cell edges are 4.4915, 4.4915 and 3.5333 Å and the angles 90.00°, 90.00° and 90.00°. The asymmetric unit holds Sc at (0.0000, 0.5000, 0.0000), H at (0.0000, 0.0000, 0.0000), Ru at (0.0000, 0.0000, 0.5000) and Pt at (0.5000, 0.5000, 0.5000).



Record 12
A relaxed structure of SnHRu2Pt. Source: Alexandria, functional GGA-PBE.

The structure belongs to space group P4/mmm (No. 123); the cell edges are 4.0853, 4.0853 and 3.9275 Å and the angles 90.00°, 90.00° and 90.00°. The asymmetric unit holds Sn at (0.0000, 0.0000, 0.0000), H at (0.5000, 0.5000, 0.5000), Ru at (0.0000, 0.5000, 0.5000) and Pt at (0.5000, 0.5000, 0.0000).



Record 13
A relaxed structure of TaHRuPt2. Source: Alexandria, functional GGA-PBE.

The value obtained for the polymorph energy (0 for the lowest one) is 0 meV/atom.

The structure belongs to space group P4/mmm (No. 123); the cell edges are 3.9643, 3.9643 and 4.1115 Å and the angles 90.00°, 90.00° and 90.00°. The asymmetric unit holds Ta at (0.0000, 0.0000, 0.0000), H at (0.5000, 0.5000, 0.5000), Ru at (0.5000, 0.5000, 0.0000) and Pt at (0.0000, 0.5000, 0.5000).



Record 14
A relaxed structure of Ta2HRuPt. Source: Alexandria, functional GGA-PBE.

The value obtained for the polymorph energy (0 for the lowest one) is 0 meV/atom.

The structure belongs to space group P4/mmm (No. 123); the cell edges are 4.1130, 4.1130 and 3.9372 Å and the angles 90.00°, 90.00° and 90.00°. The asymmetric unit holds Ta at (0.0000, 0.5000, 0.0000), H at (0.0000, 0.0000, 0.0000), Ru at (0.0000, 0.0000, 0.5000) and Pt at (0.5000, 0.5000, 0.5000).



Record 15
A relaxed structure of Ta2HRuPt. Source: Alexandria, functional GGA-PBE.

The value obtained for the polymorph energy (0 for the lowest one) is 82 meV/atom.

The structure belongs to space group P4/mmm (No. 123); the cell edges are 4.1134, 4.1134 and 3.9556 Å and the angles 90.00°, 90.00° and 90.00°. The asymmetric unit holds Ta at (0.0000, 0.5000, 0.0000), H at (0.0000, 0.0000, 0.0000), Ru at (0.5000, 0.5000, 0.5000) and Pt at (0.0000, 0.0000, 0.5000).



Record 16
A relaxed structure of TaHRuPt2. Source: Alexandria, functional GGA-PBE.

The value obtained for the polymorph energy (0 for the lowest one) is 97 meV/atom.

The structure belongs to space group P4/mmm (No. 123); the cell edges are 3.9089, 3.9089 and 4.2503 Å and the angles 90.00°, 90.00° and 90.00°. The asymmetric unit holds Ta at (0.0000, 0.0000, 0.0000), H at (0.0000, 0.0000, 0.5000), Ru at (0.5000, 0.5000, 0.0000) and Pt at (0.0000, 0.5000, 0.5000).



Record 17
A relaxed structure of Tc2HRuPt. Source: Alexandria, functional GGA-PBE.

The structure belongs to space group P4/mmm (No. 123); the cell edges are 3.9087, 3.9087 and 3.9423 Å and the angles 90.00°, 90.00° and 90.00°. The asymmetric unit holds Tc at (0.0000, 0.5000, 0.0000), H at (0.0000, 0.0000, 0.0000), Ru at (0.0000, 0.0000, 0.5000) and Pt at (0.5000, 0.5000, 0.5000).



Record 18
A relaxed structure of Ti2HRuPt. Source: Alexandria, functional GGA-PBE.

The value obtained for the polymorph energy (0 for the lowest one) is 98 meV/atom.

The structure belongs to space group P4/mmm (No. 123); the cell edges are 4.1443, 4.1443 and 3.6796 Å and the angles 90.00°, 90.00° and 90.00°. The asymmetric unit holds Ti at (0.0000, 0.5000, 0.0000), H at (0.0000, 0.0000, 0.0000), Ru at (0.5000, 0.5000, 0.5000) and Pt at (0.0000, 0.0000, 0.5000).



Record 19
A relaxed structure of Ti2HRuPt. Source: Alexandria, functional GGA-PBE.

The value obtained for the polymorph energy (0 for the lowest one) is 0 meV/atom.

The structure belongs to space group P4/mmm (No. 123); the cell edges are 4.1330, 4.1330 and 3.6773 Å and the angles 90.00°, 90.00° and 90.00°. The asymmetric unit holds Ti at (0.0000, 0.5000, 0.0000), H at (0.0000, 0.0000, 0.0000), Ru at (0.0000, 0.0000, 0.5000) and Pt at (0.5000, 0.5000, 0.5000).



Record 20
A relaxed structure of UHRu2Pt. Source: Alexandria, functional GGA-PBE.

The structure belongs to space group P4/mmm (No. 123); the cell edges are 4.1787, 4.1787 and 3.9028 Å and the angles 90.00°, 90.00° and 90.00°. The asymmetric unit holds U at (0.0000, 0.0000, 0.0000), H at (0.5000, 0.5000, 0.5000), Ru at (0.0000, 0.5000, 0.5000) and Pt at (0.5000, 0.5000, 0.0000).



| no. | calculated total energy (eV per atom) | total magnetization (μB/cell) |
| --- | --- | --- |
| 1 | -6.53 | 0.00 |
| 2 | -6.70 | 0.00 |
| 3 | -5.24 | 0.00 |
| 4 | -4.43 | 0.00 |
| 5 | -5.20 | 0.00 |
| 6 | -6.96 | 0.00 |
| 7 | -6.88 | 0.00 |
| 8 | -4.89 | 0.01 |
| 9 | -5.84 | 0.00 |
| 10 | -6.53 | 1.73 |
| 11 | -7.10 | 0.00 |
| 12 | -6.40 | 0.00 |
| 13 | -7.64 | 0.00 |
| 14 | -8.87 | 0.00 |
| 15 | -8.79 | 0.00 |
| 16 | -7.54 | 0.00 |
| 17 | -7.91 | 0.00 |
| 18 | -7.44 | 0.00 |
| 19 | -7.54 | 0.00 |
| 20 | -8.20 | 0.00 |